# NaHoP4O12 | the Open Quantum Materials Database | GGA-PBE | relaxed
data_NaHoP4O12
_chemical_formula_sum 'Na4 Ho4 P16 O48'
_cell_length_a 7.1110
_cell_length_b 12.9151
_cell_length_c 11.9095
_cell_angle_alpha 90.00
_cell_angle_beta 126.30
_cell_angle_gamma 90.00
_symmetry_space_group_name_H-M 'P 1'
_symmetry_Int_Tables_number 1
loop_
_symmetry_equiv_pos_as_xyz
'x,y,z'
loop_
_atom_site_label
_atom_site_type_symbol
_atom_site_fract_x
_atom_site_fract_y
_atom_site_fract_z
Na1 Na 0.0628 0.2216 0.0628
Na2 Na 0.0628 0.2784 0.5628
Na3 Na 0.9372 0.7216 0.4372
Na4 Na 0.9372 0.7784 0.9372
Ho1 Ho 0.4632 0.2163 0.9765
Ho2 Ho 0.4632 0.2837 0.4765
Ho3 Ho 0.5368 0.7163 0.5235
Ho4 Ho 0.5368 0.7837 0.0235
P1 P 0.0038 0.6028 0.2550
P2 P 0.0038 0.8972 0.7550
P3 P 0.1120 0.6156 0.7368
P4 P 0.1120 0.8844 0.2368
P5 P 0.3439 0.6295 0.1943
P6 P 0.3439 0.8705 0.6943
P7 P 0.4293 0.0912 0.6988
P8 P 0.4293 0.4088 0.1988
P9 P 0.5707 0.5912 0.8012
P10 P 0.5707 0.9088 0.3012
P11 P 0.6561 0.1295 0.3057
P12 P 0.6561 0.3705 0.8057
P13 P 0.8880 0.1156 0.7632
P14 P 0.8880 0.3844 0.2632
P15 P 0.9962 0.1028 0.2450
P16 P 0.9962 0.3972 0.7450
O1 O 0.0800 0.5133 0.7977
O2 O 0.0800 0.9867 0.2977
O3 O 0.0893 0.6289 0.1606
O4 O 0.0893 0.8711 0.6606
O5 O 0.1049 0.1470 0.9005
O6 O 0.1049 0.3530 0.4005
O7 O 0.1964 0.6068 0.4088
O8 O 0.1964 0.8932 0.9088
O9 O 0.2088 0.1678 0.2964
O10 O 0.2088 0.3322 0.7964
O11 O 0.2208 0.6923 0.8527
O12 O 0.2208 0.8077 0.3527
O13 O 0.2910 0.5796 0.7038
O14 O 0.2910 0.9204 0.2038
O15 O 0.3305 0.7155 0.1055
O16 O 0.3305 0.7845 0.6055
O17 O 0.3453 0.1655 0.5816
O18 O 0.3453 0.3345 0.0816
O19 O 0.3470 0.5219 0.1278
O20 O 0.3470 0.9781 0.6278
O21 O 0.3574 0.1093 0.7927
O22 O 0.3574 0.3907 0.2927
O23 O 0.4725 0.1303 0.1518
O24 O 0.4725 0.3697 0.6518
O25 O 0.5275 0.6303 0.3482
O26 O 0.5275 0.8697 0.8482
O27 O 0.6426 0.6093 0.7073
O28 O 0.6426 0.8907 0.2073
O29 O 0.6530 0.0219 0.3722
O30 O 0.6530 0.4781 0.8722
O31 O 0.6547 0.6655 0.9184
O32 O 0.6547 0.8345 0.4184
O33 O 0.6695 0.2155 0.3945
O34 O 0.6695 0.2845 0.8945
O35 O 0.7090 0.0796 0.7962
O36 O 0.7090 0.4204 0.2962
O37 O 0.7792 0.1923 0.6473
O38 O 0.7792 0.3077 0.1473
O39 O 0.7912 0.6678 0.2036
O40 O 0.7912 0.8322 0.7036
O41 O 0.8036 0.1068 0.0912
O42 O 0.8036 0.3932 0.5913
O43 O 0.8951 0.6470 0.5995
O44 O 0.8951 0.8530 0.0995
O45 O 0.9107 0.1289 0.3394
O46 O 0.9107 0.3711 0.8394
O47 O 0.9200 0.0133 0.7023
O48 O 0.9200 0.4867 0.2023
# total magnetic moment: 0.000 μB per atom
# energy: -7.27 eV per atom
# SG: No. 14

# NaHoSeO | the Open Quantum Materials Database | GGA-PBE | relaxed
data_NaHoSeO
_chemical_formula_sum 'Na2 Ho2 Se2 O2'
_cell_length_a 4.3902
_cell_length_b 7.4653
_cell_length_c 6.1804
_cell_angle_alpha 90.00
_cell_angle_beta 90.00
_cell_angle_gamma 90.00
_symmetry_space_group_name_H-M 'P 1'
_symmetry_Int_Tables_number 1
loop_
_symmetry_equiv_pos_as_xyz
'x,y,z'
loop_
_atom_site_label
_atom_site_type_symbol
_atom_site_fract_x
_atom_site_fract_y
_atom_site_fract_z
Na1 Na 0.0000 0.2106 0.0000
Na2 Na 0.0000 0.7894 0.5000
Ho1 Ho 0.5000 0.3680 0.4107
Ho2 Ho 0.5000 0.6320 0.9107
Se1 Se 0.0000 0.1790 0.5325
Se2 Se 0.0000 0.8210 0.0325
O1 O 0.5000 0.3854 0.0721
O2 O 0.5000 0.6146 0.5721
# total magnetic moment: 0.000 μB per atom
# SG: No. 26
# relative energy among the computed polymorphs: 0.1957 eV/atom

# NaHoSeO | the Open Quantum Materials Database | GGA-PBE | relaxed
data_NaHoSeO
_chemical_formula_sum 'Na2 Ho2 Se2 O2'
_cell_length_a 3.9789
_cell_length_b 3.9789
_cell_length_c 10.6944
_cell_angle_alpha 99.98
_cell_angle_beta 99.98
_cell_angle_gamma 90.07
_symmetry_space_group_name_H-M 'P 1'
_symmetry_Int_Tables_number 1
loop_
_symmetry_equiv_pos_as_xyz
'x,y,z'
loop_
_atom_site_label
_atom_site_type_symbol
_atom_site_fract_x
_atom_site_fract_y
_atom_site_fract_z
Na1 Na 0.2032 0.2032 0.4023
Na2 Na 0.7968 0.7968 0.5977
Ho1 Ho 0.5351 0.0619 0.1012
Ho2 Ho 0.9381 0.4649 0.8988
Se1 Se 0.3390 0.3387 0.6884
Se2 Se 0.6613 0.6610 0.3116
O1 O 0.4848 0.5152 0.0000
O2 O 0.9857 0.0143 0.0000
# total magnetic moment: 0.000 μB per atom
# SG: No. 5
# relative energy among the computed polymorphs: 0.0000 eV/atom

# NaHoSeO | the Open Quantum Materials Database | GGA-PBE | relaxed
data_NaHoSeO
_chemical_formula_sum 'Na2 Ho2 Se2 O2'
_cell_length_a 3.9775
_cell_length_b 3.9775
_cell_length_c 9.5126
_cell_angle_alpha 90.00
_cell_angle_beta 90.00
_cell_angle_gamma 90.00
_symmetry_space_group_name_H-M 'P 1'
_symmetry_Int_Tables_number 1
loop_
_symmetry_equiv_pos_as_xyz
'x,y,z'
loop_
_atom_site_label
_atom_site_type_symbol
_atom_site_fract_x
_atom_site_fract_y
_atom_site_fract_z
Na1 Na 0.2500 0.7500 0.0000
Na2 Na 0.7500 0.2500 0.0000
Ho1 Ho 0.2500 0.2500 0.3891
Ho2 Ho 0.7500 0.7500 0.6109
Se1 Se 0.2500 0.2500 0.7911
Se2 Se 0.7500 0.7500 0.2089
O1 O 0.2500 0.7500 0.5000
O2 O 0.7500 0.2500 0.5000
# total magnetic moment: 0.000 μB per atom
# SG: No. 129
# relative energy among the computed polymorphs: 0.0825 eV/atom

# NaHo2TaO6 | the Open Quantum Materials Database | GGA-PBE | relaxed
data_NaHo2TaO6
_chemical_formula_sum 'Na2 Ho4 Ta2 O12'
_cell_length_a 5.4082
_cell_length_b 5.7442
_cell_length_c 9.5177
_cell_angle_alpha 90.00
_cell_angle_beta 122.46
_cell_angle_gamma 90.00
_symmetry_space_group_name_H-M 'P 1'
_symmetry_Int_Tables_number 1
loop_
_symmetry_equiv_pos_as_xyz
'x,y,z'
loop_
_atom_site_label
_atom_site_type_symbol
_atom_site_fract_x
_atom_site_fract_y
_atom_site_fract_z
Na1 Na 0.0000 0.0000 0.0000
Na2 Na 0.0000 0.5000 0.5000
Ho1 Ho 0.2109 0.0660 0.7385
Ho2 Ho 0.2109 0.4340 0.2385
Ho3 Ho 0.7891 0.5660 0.7615
Ho4 Ho 0.7891 0.9340 0.2615
Ta1 Ta 0.5000 0.0000 0.5000
Ta2 Ta 0.5000 0.5000 0.0000
O1 O 0.1446 0.1770 0.4423
O2 O 0.1446 0.3230 0.9423
O3 O 0.2413 0.7172 0.4064
O4 O 0.2413 0.7828 0.9064
O5 O 0.4252 0.0795 0.2754
O6 O 0.4252 0.4205 0.7754
O7 O 0.5748 0.5795 0.2246
O8 O 0.5748 0.9205 0.7246
O9 O 0.7587 0.2172 0.0936
O10 O 0.7587 0.2828 0.5936
O11 O 0.8554 0.6770 0.0577
O12 O 0.8554 0.8230 0.5577
# total magnetic moment: 0.000 μB per atom
# energy: -8.30 eV per atom
# SG: No. 14

# NaHoTeO | the Open Quantum Materials Database | GGA-PBE | relaxed
data_NaHoTeO
_chemical_formula_sum 'Na2 Ho2 Te2 O2'
_cell_length_a 4.0959
_cell_length_b 4.0959
_cell_length_c 10.1300
_cell_angle_alpha 90.00
_cell_angle_beta 90.00
_cell_angle_gamma 90.00
_symmetry_space_group_name_H-M 'P 1'
_symmetry_Int_Tables_number 1
loop_
_symmetry_equiv_pos_as_xyz
'x,y,z'
loop_
_atom_site_label
_atom_site_type_symbol
_atom_site_fract_x
_atom_site_fract_y
_atom_site_fract_z
Na1 Na 0.2500 0.7500 0.0000
Na2 Na 0.7500 0.2500 0.0000
Ho1 Ho 0.2500 0.2500 0.4010
Ho2 Ho 0.7500 0.7500 0.5990
Te1 Te 0.2500 0.2500 0.7824
Te2 Te 0.7500 0.7500 0.2176
O1 O 0.2500 0.7500 0.5000
O2 O 0.7500 0.2500 0.5000
# total magnetic moment: 0.000 μB per atom
# SG: No. 129
# relative energy among the computed polymorphs: 0.0119 eV/atom

# NaHoTe2O8 | the Open Quantum Materials Database | GGA-PBE | relaxed
data_NaHoTe2O8
_chemical_formula_sum 'Na1 Ho1 Te2 O8'
_cell_length_a 6.6741
_cell_length_b 6.6741
_cell_length_c 6.6741
_cell_angle_alpha 134.25
_cell_angle_beta 134.25
_cell_angle_gamma 66.69
_symmetry_space_group_name_H-M 'P 1'
_symmetry_Int_Tables_number 1
loop_
_symmetry_equiv_pos_as_xyz
'x,y,z'
loop_
_atom_site_label
_atom_site_type_symbol
_atom_site_fract_x
_atom_site_fract_y
_atom_site_fract_z
Na1 Na 0.0000 0.0000 0.0000
Ho1 Ho 0.7500 0.2500 0.5000
Te1 Te 0.2500 0.7500 0.5000
Te2 Te 0.5000 0.5000 0.0000
O1 O 0.0897 0.6529 0.0722
O2 O 0.1627 0.2392 0.5816
O3 O 0.3471 0.4193 0.4368
O4 O 0.4189 0.8373 0.0765
O5 O 0.5807 0.0175 0.9278
O6 O 0.6576 0.5811 0.4184
O7 O 0.7608 0.3424 0.9235
O8 O 0.9825 0.9103 0.5632
# total magnetic moment: 0.000 μB per atom
# energy: -5.91 eV per atom
# SG: No. 82

# NaHoTeO | the Open Quantum Materials Database | GGA-PBE | relaxed
data_NaHoTeO
_chemical_formula_sum 'Na1 Ho1 Te1 O1'
_cell_length_a 7.1153
_cell_length_b 7.1153
_cell_length_c 7.1153
_cell_angle_alpha 31.26
_cell_angle_beta 31.26
_cell_angle_gamma 31.26
_symmetry_space_group_name_H-M 'P 1'
_symmetry_Int_Tables_number 1
loop_
_symmetry_equiv_pos_as_xyz
'x,y,z'
loop_
_atom_site_label
_atom_site_type_symbol
_atom_site_fract_x
_atom_site_fract_y
_atom_site_fract_z
Na1 Na 0.0000 0.0000 0.0000
Ho1 Ho 0.5335 0.5335 0.5335
Te1 Te 0.7667 0.7667 0.7667
O1 O 0.2423 0.2423 0.2423
# total magnetic moment: 0.000 μB per atom
# SG: No. 160
# relative energy among the computed polymorphs: 0.2530 eV/atom